RbMg2Cd9 | Alexandria via LeMat-Bulk | PBE-GGA | relaxed; SG = No. 141; formation energy from the elements = -1.04 eV per formula unit; calculated volume = 596.96 Å³/cell; total DFT energy (no corrections) = -1.120 eV/atom; density of states at the Fermi level = 4.6 states/eV per cell; density = 6.4 g/cm³
1.0
-6.130 6.130 3.971
6.130 -6.130 3.971
6.130 6.130 -3.971
Rb Mg Cd
2 4 18
Direct
0.375 0.625 0.750
0.625 0.375 0.250
0.000 0.000 0.000
0.000 0.000 0.500
0.000 0.500 0.000
0.500 0.000 0.500
0.125 0.875 0.250
0.138 0.560 0.335
0.138 0.803 0.578
0.197 0.276 0.335
0.197 0.862 0.922
0.276 0.197 0.835
0.276 0.440 0.078
0.440 0.276 0.578
0.440 0.862 0.165
0.560 0.138 0.835
0.560 0.724 0.422
0.724 0.560 0.922
0.724 0.803 0.165
0.803 0.138 0.078
0.803 0.724 0.665
0.862 0.197 0.422
0.862 0.440 0.665
0.875 0.125 0.750



Rb3MgCd | Alexandria via LeMat-Bulk | PBE-GGA | relaxed; SG = No. 221; formation energy from the elements = 1.33 eV per formula unit; calculated volume = 344.73 Å³/cell; total DFT energy (no corrections) = -0.817 eV/atom; density of states at the Fermi level = 3.7 states/eV per cell; density = 1.9 g/cm³
1.0
7.012 0.000 0.000
0.000 7.012 0.000
0.000 0.000 7.012
Rb Mg Cd
3 1 1
Direct
0.000 0.000 0.500
0.000 0.500 0.000
0.500 0.000 0.000
0.500 0.500 0.500
0.000 0.000 0.000



RbMg5Cd2 | Alexandria via LeMat-Bulk | PBE-GGA | relaxed; SG = No. 71; formation energy from the elements = 0.17 eV per formula unit; calculated volume = 228.46 Å³/cell; total DFT energy (no corrections) = -1.325 eV/atom; density of states at the Fermi level = 4.0 states/eV per cell; density = 3.1 g/cm³
1.0
-2.315 4.303 5.734
2.315 -4.303 5.734
2.315 4.303 -5.734
Rb Mg Cd
1 5 2
Direct
0.000 0.000 0.000
0.164 0.347 0.817
0.470 0.653 0.817
0.500 0.000 0.500
0.530 0.347 0.183
0.836 0.653 0.183
0.249 0.749 0.500
0.751 0.251 0.500



RbMg9Cd3 | Alexandria via LeMat-Bulk | PBE-GGA | relaxed; SG = No. 12; formation energy from the elements = -0.13 eV per formula unit; calculated volume = 327.48 Å³/cell; total DFT energy (no corrections) = -1.400 eV/atom; density of states at the Fermi level = 7.0 states/eV per cell; density = 3.3 g/cm³
1.0
2.979 -7.427 0.000
2.979 7.427 0.000
-2.860 0.000 7.400
Rb Mg Cd
1 9 3
Direct
0.000 0.000 0.000
0.000 0.000 0.500
0.010 0.652 0.646
0.280 0.508 0.775
0.348 0.990 0.354
0.492 0.720 0.225
0.508 0.280 0.775
0.652 0.010 0.646
0.720 0.492 0.225
0.990 0.348 0.354
0.000 0.500 0.000
0.500 0.000 0.000
0.500 0.500 0.500



Rb2MgCdRe | Alexandria via LeMat-Bulk | PBE-GGA | relaxed; SG = No. 123; formation energy from the elements = 6.41 eV per formula unit; calculated volume = 243.98 Å³/cell; total DFT energy (no corrections) = -2.096 eV/atom; density of states at the Fermi level = 4.5 states/eV per cell; density = 3.4 g/cm³
1.0
6.780 0.000 0.000
0.000 6.780 0.000
0.000 0.000 5.308
Rb Mg Cd Re
2 1 1 1
Direct
0.000 0.500 0.000
0.500 0.000 0.000
0.000 0.000 0.500
0.500 0.500 0.000
0.500 0.500 0.500



Rb2MgCdS | Alexandria via LeMat-Bulk | PBE-GGA | relaxed; SG = No. 123; calculated volume = 241.36 Å³/cell; total DFT energy (no corrections) = -1.897 eV/atom; density of states at the Fermi level = 0.9 states/eV per cell; density = 2.3 g/cm³; formation energy without anion corrections = -0.18 eV per atom
1.0
7.139 0.000 0.000
0.000 7.139 0.000
0.000 0.000 4.736
Rb Mg Cd S
2 1 1 1
Direct
0.000 0.500 0.000
0.500 0.000 0.000
0.000 0.000 0.000
0.500 0.500 0.500
0.000 0.000 0.500



RbMgCd2Sb | Alexandria via LeMat-Bulk | PBE-GGA | relaxed; SG = No. 123; calculated volume = 180.20 Å³/cell; total DFT energy (no corrections) = -1.296 eV/atom; density of states at the Fermi level = 3.9 states/eV per cell; density = 4.2 g/cm³; formation energy without anion corrections = 0.41 eV per atom
1.0
5.407 0.000 0.000
0.000 5.407 0.000
0.000 0.000 6.164
Rb Mg Cd Sb
1 1 2 1
Direct
0.000 0.000 0.000
0.000 0.000 0.500
0.000 0.500 0.500
0.500 0.000 0.500
0.500 0.500 0.000



RbMgCdSb | Alexandria via LeMat-Bulk | PBE-GGA | relaxed; SG = No. 129; calculated volume = 291.93 Å³/cell; total DFT energy (no corrections) = -2.214 eV/atom; density of states at the Fermi level = 2.2 states/eV per cell; density = 3.9 g/cm³; formation energy without anion corrections = -0.31 eV per atom
1.0
4.730 0.000 0.000
0.000 4.730 0.000
0.000 0.000 13.051
Rb Mg Cd Sb
2 2 2 2
Direct
0.250 0.250 0.247
0.750 0.750 0.753
0.250 0.750 0.500
0.750 0.250 0.500
0.250 0.750 0.000
0.750 0.250 0.000
0.250 0.250 0.632
0.750 0.750 0.368



RbMgCdSb2 | Alexandria via LeMat-Bulk | PBE-GGA | relaxed; SG = No. 119; calculated volume = 160.49 Å³/cell; total DFT energy (no corrections) = -2.689 eV/atom; density of states at the Fermi level = 3.6 states/eV per cell; density = 4.8 g/cm³; formation energy without anion corrections = -0.34 eV per atom
1.0
-2.407 2.407 6.924
2.407 -2.407 6.924
2.407 2.407 -6.924
Rb Mg Cd Sb
1 1 1 2
Direct
0.000 0.000 0.000
0.750 0.250 0.500
0.250 0.750 0.500
0.373 0.373 0.000
0.627 0.627 0.000



Rb2Mg3CdSn4 | Alexandria via LeMat-Bulk | PBE-GGA | relaxed; SG = No. 115; formation energy from the elements = -1.63 eV per formula unit; calculated volume = 305.90 Å³/cell; total DFT energy (no corrections) = -2.527 eV/atom; density of states at the Fermi level = 6.1 states/eV per cell; density = 4.5 g/cm³
1.0
4.873 0.000 0.000
0.000 4.873 0.000
0.000 0.000 12.880
Rb Mg Cd Sn
2 3 1 4
Direct
0.000 0.500 0.247
0.500 0.000 0.753
0.000 0.000 0.000
0.000 0.500 0.639
0.500 0.000 0.361
0.500 0.500 0.000
0.000 0.000 0.500
0.000 0.500 0.866
0.500 0.000 0.134
0.500 0.500 0.500



RbMgCd2Sn2 | Alexandria via LeMat-Bulk | PBE-GGA | relaxed; SG = No. 164; formation energy from the elements = -0.57 eV per formula unit; calculated volume = 186.99 Å³/cell; total DFT energy (no corrections) = -2.161 eV/atom; density of states at the Fermi level = 2.6 states/eV per cell; density = 5.1 g/cm³
1.0
4.988 0.000 0.000
-2.494 4.320 0.000
0.000 0.000 8.678
Rb Mg Cd Sn
1 1 2 2
Direct
0.000 0.000 0.000
0.000 0.000 0.500
0.333 0.667 0.669
0.667 0.333 0.331
0.333 0.667 0.301
0.667 0.333 0.699



RbMgCdSn2 | Alexandria via LeMat-Bulk | PBE-GGA | relaxed; SG = No. 119; formation energy from the elements = -0.96 eV per formula unit; calculated volume = 154.33 Å³/cell; total DFT energy (no corrections) = -2.489 eV/atom; density of states at the Fermi level = 1.4 states/eV per cell; density = 4.9 g/cm³
1.0
-2.491 2.491 6.217
2.491 -2.491 6.217
2.491 2.491 -6.217
Rb Mg Cd Sn
1 1 1 2
Direct
0.000 0.000 0.000
0.750 0.250 0.500
0.250 0.750 0.500
0.382 0.382 0.000
0.618 0.618 0.000



> What is the calculated volume in the fourth record?

327.48 Å³/cell